--- P ---
Entry from Alexandria: a geometry-optimized Tb2PmZr structure (GGA-PBE).

Properties
For the total moment, the calculation gives 7.249 μB/cell.

POSCAR file:
```
Tb2PmZr
1.0
7.829 0.000 0.000
0.000 7.829 0.000
0.000 0.000 7.829
Tb Pm Zr
8 4 4
Direct
0.250 0.250 0.250 Tb
0.250 0.250 0.750 Tb
0.250 0.750 0.250 Tb
0.250 0.750 0.750 Tb
0.750 0.250 0.250 Tb
0.750 0.250 0.750 Tb
0.750 0.750 0.250 Tb
0.750 0.750 0.750 Tb
0.000 0.000 0.000 Pm
0.000 0.500 0.500 Pm
0.500 0.000 0.500 Pm
0.500 0.500 0.000 Pm
0.000 0.000 0.500 Zr
0.000 0.500 0.000 Zr
0.500 0.000 0.000 Zr
0.500 0.500 0.500 Zr
```

--- Q ---
Entry from Alexandria: a geometry-optimized Tb2PmZr structure (GGA-PBE).

Properties
For the total moment, the calculation gives 0.000 μB/cell.

POSCAR file:
```
Tb2PmZr
1.0
3.467 0.000 0.000
-1.733 3.002 0.000
0.000 0.000 34.257
Tb Pm Zr
6 3 3
Direct
0.000 0.000 0.244 Tb
0.000 0.000 0.756 Tb
0.333 0.667 0.423 Tb
0.333 0.667 0.911 Tb
0.667 0.333 0.089 Tb
0.667 0.333 0.577 Tb
0.000 0.000 0.000 Pm
0.333 0.667 0.667 Pm
0.667 0.333 0.333 Pm
0.000 0.000 0.500 Zr
0.333 0.667 0.167 Zr
0.667 0.333 0.833 Zr
```

--- R ---
Entry from Alexandria: a geometry-optimized Tb2PmZr structure (GGA-PBE).

Properties
For the total moment, the calculation gives 0.000 μB/cell.

POSCAR file:
```
Tb2PmZr
1.0
4.039 0.000 0.000
0.000 4.039 0.000
0.000 0.000 7.342
Tb Pm Zr
2 1 1
Direct
0.000 0.000 0.221 Tb
0.000 0.000 0.779 Tb
0.500 0.500 0.500 Pm
0.500 0.500 0.000 Zr
```

--- S ---
Entry from Alexandria: a geometry-optimized Tb2PmZr structure (GGA-PBE).

Properties
For the total moment, the calculation gives 0.000 μB/cell.

POSCAR file:
```
Tb2PmZr
1.0
4.903 0.000 0.000
0.000 4.903 0.000
0.000 0.000 4.920
Tb Pm Zr
2 1 1
Direct
0.000 0.500 0.000 Tb
0.500 0.000 0.000 Tb
0.000 0.000 0.500 Pm
0.500 0.500 0.500 Zr
```

Name the least stable of them. P.

--- P ---
Entry from Alexandria: a geometry-optimized PmTc structure (GGA-PBE).

Properties
For the total moment, the calculation gives 0.000 μB/cell.

POSCAR file:
```
PmTc
1.0
4.190 0.000 0.000
-2.095 3.629 0.000
0.000 0.000 20.491
Pm Tc
6 6
Direct
0.000 0.000 0.097 Pm
0.000 0.000 0.903 Pm
0.333 0.667 0.569 Pm
0.333 0.667 0.764 Pm
0.667 0.333 0.236 Pm
0.667 0.333 0.431 Pm
0.000 0.000 0.320 Tc
0.000 0.000 0.680 Tc
0.333 0.667 0.347 Tc
0.333 0.667 0.986 Tc
0.667 0.333 0.014 Tc
0.667 0.333 0.653 Tc
```

--- Q ---
Entry from Alexandria: a geometry-optimized PmTc structure (GGA-PBE).

Properties
For the total moment, the calculation gives 0.000 μB/cell.

POSCAR file:
```
PmTc
1.0
4.645 0.000 0.000
0.000 4.056 0.000
-2.327 0.000 5.356
Pm Tc
2 2
Direct
0.146 0.250 0.291 Pm
0.854 0.750 0.709 Pm
0.441 0.250 0.886 Tc
0.559 0.750 0.114 Tc
```

Name the least stable of them. Q.

--- P ---
Entry from Alexandria: a geometry-optimized PmTc6 structure (GGA-PBE).

Properties
For the total moment, the calculation gives 0.000 μB/cell.

POSCAR file:
```
PmTc6
1.0
8.547 0.000 0.000
0.000 5.202 0.000
0.000 0.000 10.736
Pm Tc
4 24
Direct
0.233 0.250 0.055 Pm
0.267 0.750 0.555 Pm
0.733 0.250 0.445 Pm
0.767 0.750 0.945 Pm
0.069 0.009 0.305 Tc
0.069 0.491 0.305 Tc
0.078 0.750 0.079 Tc
0.080 0.250 0.523 Tc
0.142 0.750 0.852 Tc
0.187 0.250 0.758 Tc
0.313 0.750 0.258 Tc
0.358 0.250 0.352 Tc
0.420 0.750 0.023 Tc
0.422 0.250 0.579 Tc
0.431 0.509 0.805 Tc
0.431 0.991 0.805 Tc
0.569 0.009 0.195 Tc
0.569 0.491 0.195 Tc
0.578 0.750 0.421 Tc
0.580 0.250 0.977 Tc
0.642 0.750 0.648 Tc
0.687 0.250 0.742 Tc
0.813 0.750 0.242 Tc
0.858 0.250 0.148 Tc
0.920 0.750 0.477 Tc
0.922 0.250 0.921 Tc
0.931 0.509 0.695 Tc
0.931 0.991 0.695 Tc
```

--- Q ---
Entry from Alexandria: a geometry-optimized PmTc6 structure (GGA-PBE).

Properties
For the total moment, the calculation gives 0.000 μB/cell.

POSCAR file:
```
PmTc6
1.0
6.777 0.000 0.000
0.000 6.777 0.000
0.000 0.000 6.777
Pm Tc
2 12
Direct
0.000 0.000 0.000 Pm
0.500 0.500 0.500 Pm
0.000 0.250 0.500 Tc
0.000 0.500 0.250 Tc
0.000 0.500 0.750 Tc
0.000 0.750 0.500 Tc
0.250 0.000 0.500 Tc
0.250 0.500 0.000 Tc
0.500 0.000 0.250 Tc
0.500 0.000 0.750 Tc
0.500 0.250 0.000 Tc
0.500 0.750 0.000 Tc
0.750 0.000 0.500 Tc
0.750 0.500 0.000 Tc
```

Name the least stable of them. Q.

--- P ---
Entry from Alexandria: a geometry-optimized PmThTc structure (GGA-PBE).

Properties
For the total moment, the calculation gives 0.000 μB/cell.

POSCAR file:
```
PmThTc
1.0
3.554 0.000 0.000
0.000 3.554 0.000
0.000 0.000 11.852
Pm Th Tc
2 2 2
Direct
0.000 0.000 0.000 Pm
0.500 0.500 0.500 Pm
0.000 0.000 0.293 Th
0.500 0.500 0.793 Th
0.000 0.000 0.664 Tc
0.500 0.500 0.164 Tc
```

--- Q ---
Entry from Alexandria: a geometry-optimized PmThTc structure (GGA-PBE).

Properties
For the total moment, the calculation gives 0.000 μB/cell.

POSCAR file:
```
PmThTc
1.0
6.969 0.000 0.000
0.000 6.969 0.000
0.000 0.000 6.969
Pm Th Tc
4 4 4
Direct
0.000 0.000 0.000 Pm
0.000 0.500 0.500 Pm
0.500 0.000 0.500 Pm
0.500 0.500 0.000 Pm
0.000 0.000 0.500 Th
0.000 0.500 0.000 Th
0.500 0.000 0.000 Th
0.500 0.500 0.500 Th
0.250 0.250 0.750 Tc
0.250 0.750 0.250 Tc
0.750 0.250 0.250 Tc
0.750 0.750 0.750 Tc
```

Name the least stable of them. Q.

--- P ---
Entry from Alexandria: a geometry-optimized PmThTc structure (GGA-PBE).

Properties
For the total moment, the calculation gives 0.000 μB/cell.

POSCAR file:
```
PmThTc
1.0
0.000 6.601 4.451
5.902 0.000 4.451
5.902 6.601 0.000
Pm Th Tc
4 4 4
Direct
0.224 0.776 0.460 Pm
0.710 0.790 0.474 Pm
0.776 0.224 0.540 Pm
0.790 0.710 0.026 Pm
0.255 0.427 0.978 Th
0.272 0.910 0.995 Th
0.427 0.255 0.340 Th
0.910 0.272 0.823 Th
0.095 0.506 0.375 Tc
0.227 0.875 0.744 Tc
0.506 0.095 0.023 Tc
0.875 0.227 0.155 Tc
```

--- Q ---
Entry from Alexandria: a geometry-optimized PmThTc structure (GGA-PBE).

Properties
For the total moment, the calculation gives 0.000 μB/cell.

POSCAR file:
```
PmThTc
1.0
2.320 1.339 8.903
-2.320 1.339 8.903
0.000 -2.679 8.903
Pm Th Tc
2 2 2
Direct
0.130 0.130 0.130 Pm
0.870 0.870 0.870 Pm
0.289 0.289 0.289 Th
0.711 0.711 0.711 Th
0.409 0.409 0.409 Tc
0.591 0.591 0.591 Tc
```

Name the least stable of them. Q.

--- P ---
Entry from Alexandria: a geometry-optimized PmThTc2 structure (GGA-PBE).

Properties
For the total moment, the calculation gives 0.000 μB/cell.

POSCAR file:
```
PmThTc2
1.0
7.040 0.000 0.000
0.000 7.040 0.000
0.000 0.000 7.040
Pm Th Tc
4 4 8
Direct
0.000 0.000 0.000 Pm
0.000 0.500 0.500 Pm
0.500 0.000 0.500 Pm
0.500 0.500 0.000 Pm
0.000 0.000 0.500 Th
0.000 0.500 0.000 Th
0.500 0.000 0.000 Th
0.500 0.500 0.500 Th
0.250 0.250 0.250 Tc
0.250 0.250 0.750 Tc
0.250 0.750 0.250 Tc
0.250 0.750 0.750 Tc
0.750 0.250 0.250 Tc
0.750 0.250 0.750 Tc
0.750 0.750 0.250 Tc
0.750 0.750 0.750 Tc
```

--- Q ---
Entry from Alexandria: a geometry-optimized PmThTc2 structure (GGA-PBE).

Properties
For the total moment, the calculation gives 0.000 μB/cell.

POSCAR file:
```
PmThTc2
1.0
3.521 0.000 0.000
0.000 3.521 0.000
0.000 0.000 7.116
Pm Th Tc
1 1 2
Direct
0.000 0.000 0.000 Pm
0.000 0.000 0.500 Th
0.500 0.500 0.274 Tc
0.500 0.500 0.726 Tc
```

Name the least stable of them. P.